Entry from the Alexandria database: an optimized crystal structure of NpSO (PBE).

abc: 4.2263 4.2263 4.2263
angles: 60.00 60.00 60.00
Last column: nearest neighbours and their distance in Å.
Sites, in units of the cell vectors:
S 0.0000 0.0000 0.0000  4 Np 2.59
O 0.5000 0.5000 0.5000  4 Np 2.59
Np 0.2500 0.2500 0.2500  4 S 2.59, 4 O 2.59

## Properties
**V**: 53.4 Å³/cell
**Final energy**: -9.10 eV per atom
**ΔE_f (raw)**: -1759.7 meV/atom